No. 1
# meta-GGA SCAN ReRu2, PBEsol geometry
data_ReRu2
_chemical_formula_sum 'Re4 Ru8'
_cell_length_a 2.7176
_cell_length_b 14.1120
_cell_length_c 4.2949
_cell_angle_alpha 90.00
_cell_angle_beta 90.00
_cell_angle_gamma 90.00
_symmetry_space_group_name_H-M 'C m c m'
_symmetry_Int_Tables_number 63
_symmetry_space_group_name_Hall '-C 2c 2'
loop_
_atom_site_label
_atom_site_fract_x
_atom_site_fract_y
_atom_site_fract_z
_atom_site_occupancy
Re1 0.0000 0.2200 0.2500 1
Ru1 0.0000 0.1098 0.7500 1
Ru2 0.0000 0.4446 0.7500 1
# **Magnetic moment**: 0.000 μB per formula unit
# **Uncorrected energy**: -46.96 eV per atom
# **ΔE_f**: -0.12 eV per formula unit
# **DOS(E_F)**: 0.821 states/eV per atom
# **Energy above the most stable polymorph in this dataset**: 51 meV/atom



No. 2
# meta-GGA SCAN ReRu5, PBEsol geometry
data_ReRu5
_chemical_formula_sum 'Re2 Ru10'
_cell_length_a 4.2686
_cell_length_b 2.7017
_cell_length_c 14.0258
_cell_angle_alpha 90.00
_cell_angle_beta 90.00
_cell_angle_gamma 90.00
_symmetry_space_group_name_H-M 'A m m 2'
_symmetry_Int_Tables_number 38
_symmetry_space_group_name_Hall 'A 2 -2'
loop_
_atom_site_label
_atom_site_fract_x
_atom_site_fract_y
_atom_site_fract_z
_atom_site_occupancy
Re1 0.0000 0.0000 0.0000 1
Ru1 0.0000 0.0000 0.3345 1
Ru2 0.0000 0.0000 0.6692 1
Ru3 0.5000 0.0000 0.2233 1
Ru4 0.5000 0.0000 0.5571 1
Ru5 0.5000 0.0000 0.8897 1
# **Magnetic moment**: 0.000 μB per formula unit
# **Uncorrected energy**: -40.92 eV per atom
# **ΔE_f**: -0.27 eV per formula unit
# **DOS(E_F)**: 0.710 states/eV per atom
# **Energy above the most stable polymorph in this dataset**: 0 meV/atom



No. 3
# meta-GGA SCAN ReRu2, PBEsol geometry
data_ReRu2
_chemical_formula_sum 'Re4 Ru8'
_cell_length_a 9.7932
_cell_length_b 2.7150
_cell_length_c 6.3660
_cell_angle_alpha 90.00
_cell_angle_beta 103.70
_cell_angle_gamma 90.00
_symmetry_space_group_name_H-M 'C 1 2/m 1'
_symmetry_Int_Tables_number 12
_symmetry_space_group_name_Hall '-C 2y'
loop_
_atom_site_label
_atom_site_fract_x
_atom_site_fract_y
_atom_site_fract_z
_atom_site_occupancy
Re1 0.0280 0.0000 0.3052 1
Ru1 0.1402 0.5000 0.0272 1
Ru2 0.1945 0.5000 0.6375 1
# **Magnetic moment**: 0.000 μB per formula unit
# **Uncorrected energy**: -46.98 eV per atom
# **ΔE_f**: -0.20 eV per formula unit
# **DOS(E_F)**: 0.702 states/eV per atom
# **Energy above the most stable polymorph in this dataset**: 22 meV/atom